LiVZn2 after structural relaxation, computed with PBE-GGA.

Results
DOS at the Fermi energy: 5.59 states/eV per cell
energy relative to the lowest polymorph listed for this composition: 1.75 eV/f.u.
space-group type: I-42d, No. 122

```
LiVZn2
1.0
-6.861 -0.626 0.276
-0.031 -2.491 -6.429
-3.183 -4.022 -2.123
Zn V Li
4 2 2
Cartesian
-4.974 -1.698 -1.167 Zn
-1.786 -2.651 -4.510 Zn
-4.972 -4.227 -4.007 Zn
-8.417 -5.703 -6.870 Zn
0.000 0.000 0.000 V
-6.745 -3.103 -2.462 V
-3.446 -1.558 -3.077 Li
-3.330 -4.036 -5.814 Li
```

***

LiV3Zn after structural relaxation, computed with PBE-GGA.

Results
DOS at the Fermi energy: 8.43 states/eV per cell
energy relative to the lowest polymorph listed for this composition: 1.43 eV/f.u.
space-group type: Pm-3m, No. 221

```
LiV3Zn
1.0
-0.318 -4.463 -0.874
2.126 0.629 -3.983
4.020 -0.686 2.037
Zn V Li
1 3 1
Cartesian
0.000 0.000 0.000 Zn
1.063 0.314 -1.992 V
2.010 -0.343 1.019 V
-0.159 -2.231 -0.437 V
2.914 -2.260 -1.410 Li
```

***

LiVZn2 after structural relaxation, computed with PBE-GGA.

Results
DOS at the Fermi energy: 2.61 states/eV per cell
energy relative to the lowest polymorph listed for this composition: 1.27 eV/f.u.
space-group type: R-3m, No. 166

```
LiVZn2
1.0
2.637 0.000 0.000
1.319 2.284 0.000
1.319 0.761 9.868
Zn Li V
2 1 1
Cartesian
1.319 0.761 7.216 Zn
3.956 2.284 2.652 Zn
2.637 1.523 4.934 Li
0.000 0.000 0.000 V
```

***

LiVZn6 after structural relaxation, computed with PBE-GGA.

Results
DOS at the Fermi energy: 3.64 states/eV per cell
space-group type: P4/mmm, No. 123

```
LiVZn6
1.0
-0.069 3.807 0.316
-1.536 -0.317 3.484
7.293 -0.134 3.203
Li V Zn
1 1 6
Cartesian
0.000 0.000 0.000 Li
3.646 -0.067 1.602 V
-0.803 1.745 1.900 Zn
2.844 1.678 3.502 Zn
1.785 1.870 0.957 Zn
5.439 1.803 2.562 Zn
1.051 -0.192 2.541 Zn
4.705 -0.259 4.146 Zn
```

***

LiVZn2 after structural relaxation, computed with PBE-GGA.

Results
DOS at the Fermi energy: 5.53 states/eV per cell
energy relative to the lowest polymorph listed for this composition: 0.71 eV/f.u.
space-group type: Fm-3m, No. 225

```
LiVZn2
1.0
-3.551 -1.984 1.471
-3.029 2.264 2.100
-3.827 0.747 -1.872
Zn V Li
2 1 1
Cartesian
-2.602 0.257 0.425 Zn
-7.806 0.771 1.274 Zn
-5.204 0.514 0.850 V
0.000 0.000 0.000 Li
```

***

LiV3Zn after structural relaxation, computed with PBE-GGA.

Results
DOS at the Fermi energy: 6.16 states/eV per cell
energy relative to the lowest polymorph listed for this composition: 0.00 eV/f.u.
space-group type: Pm-3m, No. 221

```
LiV3Zn
1.0
-2.102 3.483 -0.702
-3.131 -2.202 -1.547
-1.679 -0.256 3.762
Zn V Li
1 3 1
Cartesian
-3.456 0.513 0.757 Zn
-1.565 -1.101 -0.774 V
-0.840 -0.128 1.881 V
-1.051 1.741 -0.351 V
0.000 0.000 0.000 Li
```

***

LiVZn2 after structural relaxation, computed with PBE-GGA.

Results
DOS at the Fermi energy: 1.82 states/eV per cell
energy relative to the lowest polymorph listed for this composition: 0.19 eV/f.u.
space-group type: P4/mmm, No. 123

```
LiVZn2
1.0
2.792 0.000 0.000
0.000 4.557 0.000
0.000 0.000 4.557
Zn Li V
2 1 1
Cartesian
0.000 0.000 2.279 Zn
0.000 2.279 0.000 Zn
1.396 0.000 0.000 Li
1.396 2.279 2.279 V
```

***

LiVZn2 after structural relaxation, computed with PBE-GGA.

Results
DOS at the Fermi energy: 1.34 states/eV per cell
energy relative to the lowest polymorph listed for this composition: 0.00 eV/f.u.
space-group type: P4/mmm, No. 123

```
LiVZn2
1.0
2.602 0.000 0.000
0.000 2.602 0.000
0.000 0.000 8.291
Zn Li V
2 1 1
Cartesian
0.000 0.000 6.188 Zn
0.000 0.000 2.103 Zn
1.301 1.301 0.000 Li
1.301 1.301 4.145 V
```

***

LiV2Zn4 after structural relaxation, computed with PBE-GGA.

Results
DOS at the Fermi energy: 3.77 states/eV per cell
space-group type: P1, No. 1

```
LiV2Zn4
1.0
4.569 0.176 -1.474
0.260 4.348 -1.943
-2.574 -3.524 7.420
Li V Zn
1 2 4
Cartesian
2.087 0.007 3.760 Li
2.621 3.029 -0.693 V
-0.252 -1.521 4.460 V
2.278 1.524 1.555 Zn
-0.014 0.100 2.183 Zn
0.218 1.789 -0.110 Zn
-0.330 -3.192 6.569 Zn
```

***

LiVZn4 after structural relaxation, computed with PBE-GGA.

Results
DOS at the Fermi energy: 6.74 states/eV per cell
space-group type: F-43m, No. 216

```
LiVZn4
1.0
-2.803 2.429 -3.460
-4.932 0.819 0.853
-1.667 4.699 0.931
Zn Li V
4 1 1
Cartesian
-5.042 2.620 -1.511 Zn
-3.413 4.556 -1.472 Zn
-5.873 4.964 -1.047 Zn
-4.475 3.753 0.679 Zn
0.000 0.000 0.000 Li
-2.350 1.987 -0.419 V
```

***

Li2ZrVZn after structural relaxation, computed with PBE-GGA.

Results
DOS at the Fermi energy: 2.80 states/eV per cell
space-group type: P4/mmm, No. 123

```
Li2ZrVZn
1.0
-1.862 3.029 -2.593
-4.001 -2.648 -0.220
-1.568 2.074 3.550
Zn Li Zr V
1 2 1 1
Cartesian
-2.000 -1.324 -0.110 Zn
-0.784 1.037 1.775 Li
-0.931 1.514 -1.296 Li
-3.716 1.228 0.369 Zr
0.000 0.000 0.000 V
```

***

LiZr3V after structural relaxation, computed with PBE-GGA.

Results
DOS at the Fermi energy: 6.44 states/eV per cell
energy relative to the lowest polymorph listed for this composition: 0.00 eV/f.u.
space-group type: Pm-3m, No. 221

```
LiZr3V
1.0
4.948 0.000 0.000
0.000 4.948 0.000
0.000 0.000 4.948
V Zr Li
1 3 1
Cartesian
0.000 0.000 0.000 V
0.000 2.474 0.000 Zr
0.000 0.000 2.474 Zr
2.474 0.000 0.000 Zr
2.474 2.474 2.474 Li
```

***

Li2ZrV after structural relaxation, computed with PBE-GGA.

Results
DOS at the Fermi energy: 3.43 states/eV per cell
energy relative to the lowest polymorph listed for this composition: 0.00 eV/f.u.
space-group type: Fm-3m, No. 225

```
Li2ZrV
1.0
0.000 3.176 3.176
3.176 0.000 3.176
3.176 3.176 0.000
V Zr Li
1 1 2
Cartesian
0.000 0.000 0.000 V
3.176 3.176 3.176 Zr
1.588 1.588 1.588 Li
4.764 4.764 4.764 Li
```

***

LiZr2V2 after structural relaxation, computed with PBE-GGA.

Results
DOS at the Fermi energy: 10.00 states/eV per cell
space-group type: P4/mbm, No. 127

```
LiZr2V2
1.0
-1.362 -1.236 6.756
6.794 0.762 1.509
-0.539 3.684 0.566
V Zr Li
4 4 2
Cartesian
5.456 0.201 3.886 V
3.023 -0.613 6.875 V
-0.023 -0.676 4.379 V
2.409 0.139 1.390 V
4.056 2.142 2.449 Zr
4.451 1.644 6.066 Zr
0.838 1.068 6.381 Zr
0.443 1.565 2.764 Zr
0.000 0.000 0.000 Li
2.716 -0.237 4.132 Li
```

***

LiZr3V after structural relaxation, computed with PBE-GGA.

Results
DOS at the Fermi energy: 6.25 states/eV per cell
energy relative to the lowest polymorph listed for this composition: 1.45 eV/f.u.
space-group type: Pm-3m, No. 221

```
LiZr3V
1.0
-3.239 -1.860 2.877
-2.326 -1.713 -3.726
2.515 -3.980 0.259
V Zr Li
1 3 1
Cartesian
-1.525 -3.776 -0.295 V
-1.163 -0.856 -1.863 Zr
1.258 -1.990 0.130 Zr
-1.620 -0.930 1.439 Zr
0.000 0.000 0.000 Li
```

***

Li2ZrV after structural relaxation, computed with PBE-GGA.

Results
DOS at the Fermi energy: 5.87 states/eV per cell
energy relative to the lowest polymorph listed for this composition: 0.26 eV/f.u.
space-group type: I-42d, No. 122

```
Li2ZrV
1.0
7.393 0.000 0.000
0.000 7.393 0.000
3.697 3.697 2.505
V Zr Li
2 2 4
Cartesian
3.697 3.697 0.000 V
3.697 7.393 1.253 V
0.000 0.000 0.000 Zr
7.393 3.697 1.253 Zr
5.376 1.848 0.626 Li
2.017 5.545 0.626 Li
5.545 5.714 1.879 Li
9.242 9.073 1.879 Li
```

***

Li3W after structural relaxation, computed with PBE-GGA.

Results
DOS at the Fermi energy: 1.45 states/eV per cell
energy relative to the lowest polymorph listed for this composition: 2.79 eV/f.u.
space-group type: I4/mmm, No. 139

```
Li3W
1.0
-3.238 -1.852 3.537
-1.746 -4.779 -0.738
4.579 2.337 -0.002
Li W
3 1
Cartesian
-0.576 -1.415 2.468 Li
0.170 -2.879 0.330 Li
-2.492 -3.316 1.400 Li
0.000 0.000 0.000 W
```

***

Li3W after structural relaxation, computed with PBE-GGA.

Results
DOS at the Fermi energy: 7.58 states/eV per cell
energy relative to the lowest polymorph listed for this composition: 2.83 eV/f.u.
space-group type: P6_3/mmc, No. 194

```
Li3W
1.0
4.413 3.308 -0.486
-5.042 1.909 -1.258
-0.529 1.308 4.102
Li W
6 2
Cartesian
-1.068 1.503 0.530 Li
-1.386 4.137 -0.351 Li
-3.614 2.467 -0.105 Li
-0.089 5.022 1.828 Li
0.228 2.388 2.709 Li
2.456 4.058 2.463 Li
-2.287 3.356 2.076 W
1.129 3.168 0.282 W
```

***

LiW after structural relaxation, computed with PBE-GGA.

Results
DOS at the Fermi energy: 7.55 states/eV per cell
energy relative to the lowest polymorph listed for this composition: 5.95 eV/f.u.
space-group type: F-43m, No. 216

```
LiW
1.0
-3.660 -0.583 -3.670
3.095 -3.328 -2.558
-2.056 -3.973 2.681
Li W
4 4
Cartesian
-0.655 -1.971 -0.887 Li
-0.136 -5.621 -0.825 Li
-3.513 -4.249 -1.381 Li
-0.938 -3.926 -4.001 Li
0.000 0.000 0.000 W
0.520 -3.650 0.061 W
-2.858 -2.278 -0.494 W
-0.282 -1.955 -3.114 W
```

***

LiW after structural relaxation, computed with PBE-GGA.

Results
DOS at the Fermi energy: 2.00 states/eV per cell
energy relative to the lowest polymorph listed for this composition: 0.72 eV/f.u.
space-group type: Imma, No. 74

```
LiW
1.0
4.803 -0.007 -0.002
1.576 4.537 0.002
-2.595 -3.102 2.590
Li W
2 2
Cartesian
2.305 2.177 0.648 Li
1.478 -0.749 1.942 Li
3.713 -0.241 0.646 W
0.071 1.669 1.944 W
```

***

no.,calculated formation energy (eV per atom)
1,0.375
2,1.410
3,0.255
4,-0.056
5,0.114
6,1.124
7,-0.016
8,-0.062
9,0.097
10,0.060
11,0.833
12,0.670
13,0.585
14,0.321
15,0.960
16,0.649
17,0.978
18,0.987
19,3.244
20,0.631